CrPS2F PBE+U optimized geometry; theoretical density = 3.065 g/cm3; crystal system = tetragonal; uncorrected energy = -20.338 eV/cell
1.0
-4.830 -0.101 1.200
-0.243 -4.777 -1.379
0.861 -1.019 3.378
Cr S F P
1 2 1 1
Direct
0.500 0.500 0.500 Cr
0.000 0.500 0.000 S
0.500 0.000 0.000 S
0.000 0.000 0.000 F
0.000 0.000 0.500 P